# PBE Sr2InGaSe5, relaxed
data_Sr2InGaSe5
_cell_length_a 4.057
_cell_length_b 19.372
_cell_length_c 12.529
_cell_angle_alpha 90.00
_cell_angle_beta 90.00
_cell_angle_gamma 90.00
_symmetry_space_group_name_H-M 'C m c 21'
_symmetry_Int_Tables_number 36
_symmetry_space_group_name_Hall 'C 2c -2'
loop_
_atom_site_label
_atom_site_type_symbol
_atom_site_fract_x
_atom_site_fract_y
_atom_site_fract_z
Sr1 Sr 0.000 0.113 0.000
Sr2 Sr 0.000 0.118 0.625
In1 In 0.000 0.224 0.349
Ga1 Ga 0.000 0.438 0.769
Se1 Se 0.000 0.043 0.379
Se2 Se 0.000 0.282 0.999
Se3 Se 0.000 0.317 0.704
Se4 Se 0.000 0.358 0.316
Se5 Se 0.000 0.496 0.599
# - energy relative to the elements, uncorrected (meV per atom) = -1228
# - calculated total energy (eV per atom) = -4.178


# PBE TlInGaSe4, relaxed
data_TlInGaSe4
_cell_length_a 6.830
_cell_length_b 6.590
_cell_length_c 9.920
_cell_angle_alpha 90.00
_cell_angle_beta 103.71
_cell_angle_gamma 90.00
_symmetry_space_group_name_H-M 'P 1 21/m 1'
_symmetry_Int_Tables_number 11
_symmetry_space_group_name_Hall '-P 2yb'
loop_
_atom_site_label
_atom_site_type_symbol
_atom_site_fract_x
_atom_site_fract_y
_atom_site_fract_z
Tl1 Tl 0.202 0.250 0.039
In1 In 0.298 0.250 0.689
Ga1 Ga 0.210 0.750 0.301
Se1 Se 0.034 0.525 0.721
Se2 Se 0.375 0.750 0.108
Se3 Se 0.499 0.750 0.507
# - energy relative to the elements, uncorrected (meV per atom) = -408
# - calculated total energy (eV per atom) = -3.561


# PBE TlIn2GaSe4, relaxed
data_TlIn2GaSe4
_cell_length_a 6.709
_cell_length_b 8.179
_cell_length_c 8.215
_cell_angle_alpha 90.00
_cell_angle_beta 90.00
_cell_angle_gamma 90.00
_symmetry_space_group_name_H-M 'I 2 2 2'
_symmetry_Int_Tables_number 23
_symmetry_space_group_name_Hall 'I 2 2'
loop_
_atom_site_label
_atom_site_type_symbol
_atom_site_fract_x
_atom_site_fract_y
_atom_site_fract_z
Tl1 Tl 0.000 0.000 0.000
In1 In 0.000 0.500 0.000
In2 In 0.000 0.500 0.500
Ga1 Ga 0.000 0.000 0.500
Se1 Se 0.230 0.167 0.666
# - energy relative to the elements, uncorrected (meV per atom) = -506
# - calculated total energy (eV per atom) = -3.607


# PBE Tl2InGaSe4, relaxed
data_Tl2InGaSe4
_cell_length_a 7.469
_cell_length_b 7.469
_cell_length_c 9.026
_cell_angle_alpha 90.00
_cell_angle_beta 90.00
_cell_angle_gamma 90.00
_symmetry_space_group_name_H-M 'I -4'
_symmetry_Int_Tables_number 82
_symmetry_space_group_name_Hall 'I -4'
loop_
_atom_site_label
_atom_site_type_symbol
_atom_site_fract_x
_atom_site_fract_y
_atom_site_fract_z
Tl1 Tl 0.000 0.000 0.000
Tl2 Tl 0.000 0.500 0.250
In1 In 0.000 0.000 0.500
Ga1 Ga 0.000 0.500 0.750
Se1 Se 0.173 0.264 0.628
# - energy relative to the elements, uncorrected (meV per atom) = -515
# - calculated total energy (eV per atom) = -3.570


# PBE InGaSi, relaxed
data_InGaSi
_cell_length_a 10.211
_cell_length_b 4.128
_cell_length_c 6.574
_cell_angle_alpha 90.00
_cell_angle_beta 90.00
_cell_angle_gamma 90.00
_symmetry_space_group_name_H-M 'P n m a'
_symmetry_Int_Tables_number 62
_symmetry_space_group_name_Hall '-P 2ac 2n'
loop_
_atom_site_label
_atom_site_type_symbol
_atom_site_fract_x
_atom_site_fract_y
_atom_site_fract_z
In1 In 0.007 0.250 0.208
Ga1 Ga 0.206 0.250 0.492
Si1 Si 0.181 0.250 0.864
# - energy relative to the elements, uncorrected (meV per atom) = 160
# - calculated total energy (eV per atom) = -3.569


# PBE InGa3Si, relaxed
data_InGa3Si
_cell_length_a 5.205
_cell_length_b 5.205
_cell_length_c 5.205
_cell_angle_alpha 90.00
_cell_angle_beta 90.00
_cell_angle_gamma 90.00
_symmetry_space_group_name_H-M 'P m -3 m'
_symmetry_Int_Tables_number 221
_symmetry_space_group_name_Hall '-P 4 2 3'
loop_
_atom_site_label
_atom_site_type_symbol
_atom_site_fract_x
_atom_site_fract_y
_atom_site_fract_z
In1 In 0.000 0.000 0.000
Ga1 Ga 0.000 0.000 0.500
Si1 Si 0.500 0.500 0.500
# - energy relative to the elements, uncorrected (meV per atom) = 875
# - calculated total energy (eV per atom) = -2.573
# - E above lowest polymorph (meV/atom) = 553


# PBE In12Ga3Si5, relaxed
data_In12Ga3Si5
_cell_length_a 16.194
_cell_length_b 16.194
_cell_length_c 16.194
_cell_angle_alpha 90.00
_cell_angle_beta 90.00
_cell_angle_gamma 90.00
_symmetry_space_group_name_H-M 'I a -3 d'
_symmetry_Int_Tables_number 230
_symmetry_space_group_name_Hall '-I 4bd 2c 3'
loop_
_atom_site_label
_atom_site_type_symbol
_atom_site_fract_x
_atom_site_fract_y
_atom_site_fract_z
In1 In 0.024 0.078 0.650
Ga1 Ga 0.000 0.250 0.125
Si1 Si 0.000 0.000 0.000
Si2 Si 0.000 0.250 0.375
# - energy relative to the elements, uncorrected (meV per atom) = 251
# - calculated total energy (eV per atom) = -3.202


# PBE InGaSi2, relaxed
data_InGaSi2
_cell_length_a 6.760
_cell_length_b 6.760
_cell_length_c 6.760
_cell_angle_alpha 90.00
_cell_angle_beta 90.00
_cell_angle_gamma 90.00
_symmetry_space_group_name_H-M 'F m -3 m'
_symmetry_Int_Tables_number 225
_symmetry_space_group_name_Hall '-F 4 2 3'
loop_
_atom_site_label
_atom_site_type_symbol
_atom_site_fract_x
_atom_site_fract_y
_atom_site_fract_z
In1 In 0.000 0.000 0.000
Ga1 Ga 0.000 0.000 0.500
Si1 Si 0.250 0.250 0.250
# - energy relative to the elements, uncorrected (meV per atom) = 466
# - calculated total energy (eV per atom) = -3.687
# - E above lowest polymorph (meV/atom) = 74


# PBE In3GaSi, relaxed
data_In3GaSi
_cell_length_a 5.258
_cell_length_b 5.258
_cell_length_c 5.258
_cell_angle_alpha 90.00
_cell_angle_beta 90.00
_cell_angle_gamma 90.00
_symmetry_space_group_name_H-M 'P m -3 m'
_symmetry_Int_Tables_number 221
_symmetry_space_group_name_Hall '-P 4 2 3'
loop_
_atom_site_label
_atom_site_type_symbol
_atom_site_fract_x
_atom_site_fract_y
_atom_site_fract_z
In1 In 0.000 0.000 0.500
Ga1 Ga 0.000 0.000 0.000
Si1 Si 0.500 0.500 0.500
# - energy relative to the elements, uncorrected (meV per atom) = 650
# - calculated total energy (eV per atom) = -2.684
# - E above lowest polymorph (meV/atom) = 184


# PBE InGaSi2, relaxed
data_InGaSi2
_cell_length_a 5.909
_cell_length_b 5.909
_cell_length_c 11.562
_cell_angle_alpha 90.00
_cell_angle_beta 90.00
_cell_angle_gamma 90.00
_symmetry_space_group_name_H-M 'I -4 2 d'
_symmetry_Int_Tables_number 122
_symmetry_space_group_name_Hall 'I -4 2bw'
loop_
_atom_site_label
_atom_site_type_symbol
_atom_site_fract_x
_atom_site_fract_y
_atom_site_fract_z
In1 In 0.000 0.000 0.000
Ga1 Ga 0.000 0.000 0.500
Si1 Si 0.218 0.250 0.625
# - energy relative to the elements, uncorrected (meV per atom) = 392
# - calculated total energy (eV per atom) = -3.761
# - E above lowest polymorph (meV/atom) = 0


# PBE In2GaSi, relaxed
data_In2GaSi
_cell_length_a 6.783
_cell_length_b 6.783
_cell_length_c 10.027
_cell_angle_alpha 90.00
_cell_angle_beta 90.00
_cell_angle_gamma 90.00
_symmetry_space_group_name_H-M 'I -4 2 d'
_symmetry_Int_Tables_number 122
_symmetry_space_group_name_Hall 'I -4 2bw'
loop_
_atom_site_label
_atom_site_type_symbol
_atom_site_fract_x
_atom_site_fract_y
_atom_site_fract_z
In1 In 0.229 0.250 0.125
Ga1 Ga 0.000 0.000 0.500
Si1 Si 0.000 0.000 0.000
# - energy relative to the elements, uncorrected (meV per atom) = 389
# - calculated total energy (eV per atom) = -3.092


# PBE In2GaSi2, relaxed
data_In2GaSi2
_cell_length_a 3.496
_cell_length_b 3.496
_cell_length_c 17.728
_cell_angle_alpha 90.00
_cell_angle_beta 90.00
_cell_angle_gamma 90.00
_symmetry_space_group_name_H-M 'I 4/m m m'
_symmetry_Int_Tables_number 139
_symmetry_space_group_name_Hall '-I 4 2'
loop_
_atom_site_label
_atom_site_type_symbol
_atom_site_fract_x
_atom_site_fract_y
_atom_site_fract_z
In1 In 0.000 0.000 0.108
Ga1 Ga 0.000 0.000 0.500
Si1 Si 0.000 0.500 0.250
# - energy relative to the elements, uncorrected (meV per atom) = 222
# - calculated total energy (eV per atom) = -3.648


# PBE In3GaSi, relaxed
data_In3GaSi
_cell_length_a 5.273
_cell_length_b 5.273
_cell_length_c 5.273
_cell_angle_alpha 90.00
_cell_angle_beta 90.00
_cell_angle_gamma 90.00
_symmetry_space_group_name_H-M 'P m -3 m'
_symmetry_Int_Tables_number 221
_symmetry_space_group_name_Hall '-P 4 2 3'
loop_
_atom_site_label
_atom_site_type_symbol
_atom_site_fract_x
_atom_site_fract_y
_atom_site_fract_z
In1 In 0.000 0.000 0.500
Ga1 Ga 0.500 0.500 0.500
Si1 Si 0.000 0.000 0.000
# - energy relative to the elements, uncorrected (meV per atom) = 466
# - calculated total energy (eV per atom) = -2.867
# - E above lowest polymorph (meV/atom) = 0


# PBE In3Ga12Si5, relaxed
data_In3Ga12Si5
_cell_length_a 15.335
_cell_length_b 15.335
_cell_length_c 15.335
_cell_angle_alpha 90.00
_cell_angle_beta 90.00
_cell_angle_gamma 90.00
_symmetry_space_group_name_H-M 'I a -3 d'
_symmetry_Int_Tables_number 230
_symmetry_space_group_name_Hall '-I 4bd 2c 3'
loop_
_atom_site_label
_atom_site_type_symbol
_atom_site_fract_x
_atom_site_fract_y
_atom_site_fract_z
In1 In 0.000 0.250 0.125
Ga1 Ga 0.027 0.073 0.647
Si1 Si 0.000 0.000 0.000
Si2 Si 0.000 0.250 0.375
# - energy relative to the elements, uncorrected (meV per atom) = 213
# - calculated total energy (eV per atom) = -3.370


# PBE InGa3Si, relaxed
data_InGa3Si
_cell_length_a 4.898
_cell_length_b 4.898
_cell_length_c 4.898
_cell_angle_alpha 90.00
_cell_angle_beta 90.00
_cell_angle_gamma 90.00
_symmetry_space_group_name_H-M 'P m -3 m'
_symmetry_Int_Tables_number 221
_symmetry_space_group_name_Hall '-P 4 2 3'
loop_
_atom_site_label
_atom_site_type_symbol
_atom_site_fract_x
_atom_site_fract_y
_atom_site_fract_z
In1 In 0.000 0.000 0.000
Ga1 Ga 0.000 0.500 0.500
Si1 Si 0.500 0.500 0.500
# - energy relative to the elements, uncorrected (meV per atom) = 322
# - calculated total energy (eV per atom) = -3.126
# - E above lowest polymorph (meV/atom) = 0


# PBE Sm7In2Ga2, relaxed
data_Sm7In2Ga2
_cell_length_a 8.029
_cell_length_b 11.326
_cell_length_c 7.552
_cell_angle_alpha 90.00
_cell_angle_beta 90.00
_cell_angle_gamma 90.00
_symmetry_space_group_name_H-M 'C m m m'
_symmetry_Int_Tables_number 65
_symmetry_space_group_name_Hall '-C 2 2'
loop_
_atom_site_label
_atom_site_type_symbol
_atom_site_fract_x
_atom_site_fract_y
_atom_site_fract_z
Sm1 Sm 0.000 0.000 0.000
Sm2 Sm 0.000 0.500 0.247
Sm3 Sm 0.250 0.250 0.277
In1 In 0.176 0.000 0.500
Ga1 Ga 0.000 0.288 0.000
# - calculated total energy (eV per atom) = -4.247
# - formation energy from the elements (eV/f.u.) = -2.15


# PBE SmInGa, relaxed
data_SmInGa
_cell_length_a 4.744
_cell_length_b 7.487
_cell_length_c 8.118
_cell_angle_alpha 90.00
_cell_angle_beta 90.00
_cell_angle_gamma 90.00
_symmetry_space_group_name_H-M 'I m m a'
_symmetry_Int_Tables_number 74
_symmetry_space_group_name_Hall '-I 2b 2'
loop_
_atom_site_label
_atom_site_type_symbol
_atom_site_fract_x
_atom_site_fract_y
_atom_site_fract_z
Sm1 Sm 0.000 0.000 0.000
In1 In 0.000 0.250 0.347
Ga1 Ga 0.000 0.250 0.682
# - calculated total energy (eV per atom) = -3.995
# - formation energy from the elements (eV/f.u.) = -1.50
# - E above lowest polymorph (meV/atom) = 10


Quick rundown of total magnetic moment, same order as above: 0.00 0.00 0.00 0.00 0.00 0.00 0.00 0.00 0.00 0.00 0.00 0.00 0.00 0.00 0.00 0.00 0.00 μB per cell